DFT (PBE) results for a relaxed structure of CeNbCo2.

## Properties
As for the space group: R-3m, No. 166. Its total energy is -7.596 eV per atom. The value obtained for the mass density is 8.166 g/cm3. The spin magnetization comes out at 0.00 μB per cell. The formation energy comes out at -0.167 eV per formula unit. The value obtained for the energy relative to the lowest polymorph listed for this composition is 63 meV/atom.

Unit cell a=5.351 b=5.351 c=5.351 alpha=45.62 beta=45.62 gamma=45.62
Element x y z (fractional)
Ce  0.000  0.000  0.000
Nb  0.500  0.500  0.500
Co  0.214  0.214  0.214
Co  0.786  0.786  0.786